1.
## RePIr2 (PBE)

Data for an optimized crystal structure of RePIr2.

Calculated values
DFT formation energy: 0.2299 eV/atom

Cell: 3.8184 3.8184 7.7927 Å, 90.00 90.00 90.00°
With the nearest neighbours (Å) after each atom.
Fractional positions:
Re1 0.0000 0.0000 0.0000  4 P 2.70, 8 Ir 2.73
Re2 0.5000 0.5000 0.5000  4 P 2.70, 8 Ir 2.73
P1 0.0000 0.0000 0.5000  4 Re 2.70, 8 Ir 2.73
P2 0.5000 0.5000 0.0000  4 Re 2.70, 8 Ir 2.73
Ir1 0.0000 0.5000 0.2500  4 Ir 2.70, 4 Re 2.73, 4 P 2.73
Ir2 0.0000 0.5000 0.7500  4 Ir 2.70, 4 Re 2.73, 4 P 2.73
Ir3 0.5000 0.0000 0.2500  4 Ir 2.70, 4 Re 2.73, 4 P 2.73
Ir4 0.5000 0.0000 0.7500  4 Ir 2.70, 4 Re 2.73, 4 P 2.73



2.
## La2Pd2F (PBE)

Data for an optimized crystal structure of La2Pd2F.

Calculated values
Formation energy (no corrections): -7.2 eV/f.u.

Cell: 7.5635 7.5635 4.1671 Å, 90.00 90.00 90.00°
With the nearest neighbours (Å) after each atom.
Fractional positions:
La1 0.1835 0.3165 0.0000  2 F 2.77, 2 Pd 2.93
La2 0.3165 0.8165 0.0000  2 F 2.77, 2 Pd 2.93
La3 0.6835 0.1835 0.0000  2 F 2.77, 2 Pd 2.93
La4 0.8165 0.6835 0.0000  2 F 2.77, 2 Pd 2.93
Pd1 0.1243 0.6243 0.5000  1 Pd 2.66, 2 La 2.93
Pd2 0.3757 0.1243 0.5000  1 Pd 2.66, 2 La 2.93
Pd3 0.6243 0.8757 0.5000  1 Pd 2.66, 2 La 2.93
Pd4 0.8757 0.3757 0.5000  1 Pd 2.66, 2 La 2.93
F1 0.0000 0.0000 0.0000  4 La 2.77
F2 0.5000 0.5000 0.0000  4 La 2.77



3.
## TbPmDy (PBE)

Data for an optimized crystal structure of TbPmDy.

Calculated values
DFT formation energy: 0.2284 eV/atom

Cell: 4.8589 4.8589 8.6831 Å, 90.00 90.00 90.00°
With the nearest neighbours (Å) after each atom.
Fractional positions:
Tb1 0.2500 0.2500 0.1976  5 Dy 3.44, 4 Pm 3.58
Tb2 0.7500 0.7500 0.8024  5 Dy 3.44, 4 Pm 3.58
Pm1 0.2500 0.7500 0.5000  4 Pm 3.44, 4 Dy 3.57, 4 Tb 3.58
Pm2 0.7500 0.2500 0.5000  4 Pm 3.44, 4 Dy 3.57, 4 Tb 3.58
Dy1 0.2500 0.2500 0.8020  5 Tb 3.44, 4 Pm 3.57
Dy2 0.7500 0.7500 0.1980  5 Tb 3.44, 4 Pm 3.57



Going through the records in order, we get DOS at the Fermi energy values of 5.64, 6.91, 7.32 states/eV per cell.
Going through the records in order, we get total moment values of 0.00, 0.00, 0.00 Bohr magnetons per cell.